Material: TaNiPdRh
Method: DFT, PBE-GGA
State: relaxed

```
data_TaNiPdRh
_cell_length_a 6.169
_cell_length_b 6.169
_cell_length_c 6.169
_cell_angle_alpha 90.00
_cell_angle_beta 90.00
_cell_angle_gamma 90.00
_space_group_name_H-M_alt 'F -4 3 m'
_space_group_IT_number 216
_space_group_name_Hall 'F -4 2 3'
loop_
_atom_site_label
_atom_site_fract_x
_atom_site_fract_y
_atom_site_fract_z
Ta1 0.000 0.000 0.000
Ni1 0.000 0.000 0.500
Pd1 0.250 0.250 0.250
Rh1 0.250 0.250 0.750
```

- ΔH_f (0 K) (eV/atom) = -0.280
- density of states at the Fermi level (states/eV/f.u.) = 1.58